Entry 1:
The following is a PBE calculation of an optimized crystal structure of Ir2C, from Alexandria.

## Properties
Calculated formation energy   0.56 eV per atom
D(E_F)   0.440 states/eV per atom

a b c (Å): 2.8046 2.8046 5.3997
angles (deg): 90.00 90.00 120.00
Fractional positions:
C  0.6667  0.3333  0.5000
Ir  0.0000  0.0000  0.2409
Ir  0.0000  0.0000  0.7591

=====

Entry 2:
The following is a PBE calculation of an optimized crystal structure of Be2HgRh, from Alexandria.

## Properties
Calculated formation energy   0.16 eV per atom
D(E_F)   0.473 states/eV per atom

a b c (Å): 8.1458 8.1458 8.1458
angles (deg): 20.30 20.30 20.30
Fractional positions:
Be  0.0156  0.0156  0.0156
Be  0.4844  0.4844  0.4844
Rh  0.7500  0.7500  0.7500
Hg  0.2500  0.2500  0.2500

=====

Entry 3:
The following is a PBE calculation of an optimized crystal structure of Ta2Ru, from Alexandria.

## Properties
Calculated formation energy   -0.29 eV per atom
D(E_F)   0.621 states/eV per atom

a b c (Å): 4.5480 4.5479 5.5572
angles (deg): 90.00 90.00 120.00
Fractional positions:
Ta  0.1667  0.3334  0.3325
Ta  0.8333  0.6666  0.6675
Ta  0.5000  0.0000  0.5000
Ta  0.5000  0.0000  0.0000
Ru  0.1666  0.3333  0.8375
Ru  0.8334  0.6667  0.1625

=====

Entry 4:
The following is a PBE calculation of an optimized crystal structure of BeOs, from Alexandria.

## Properties
Calculated formation energy   -0.03 eV per atom
D(E_F)   0.521 states/eV per atom

a b c (Å): 3.6075 8.4153 2.8892
angles (deg): 90.00 90.00 90.00
Fractional positions:
Be  0.0000  0.4133  0.2500
Be  0.0000  0.5867  0.7500
Be  0.5000  0.9133  0.2500
Be  0.5000  0.0867  0.7500
Os  0.0000  0.1347  0.2500
Os  0.0000  0.8653  0.7500
Os  0.5000  0.6347  0.2500
Os  0.5000  0.3653  0.7500